No. 1
VASP calculation (PBE) on a geometry-optimized CsBi3C structure.

The raw total energy comes out at -3.48 eV/atom. For the polymorph energy (0 for the lowest one), the calculation gives 0.000 eV/atom. Its total moment is 0.000 μB/atom.

The space group is Pm-3m (No. 221) and the conventional cell measures 5.317, 5.317 and 5.317 Å, with angles of 90.00, 90.00 and 90.00 degrees. The distinct sites, in fractional coordinates, are Cs at (0.000, 0.000, 0.000), Bi at (0.000, 0.500, 0.500) and C at (0.500, 0.500, 0.500).

---

No. 2
VASP calculation (PBE) on a geometry-optimized Cs3BiC structure.

The raw total energy comes out at -2.35 eV/atom. Its total moment is 0.390 μB/atom.

The space group is Pm-3m (No. 221) and the conventional cell measures 6.369, 6.369 and 6.369 Å, with angles of 90.00, 90.00 and 90.00 degrees. The distinct sites, in fractional coordinates, are Cs at (0.000, 0.000, 0.500), Bi at (0.500, 0.500, 0.500) and C at (0.000, 0.000, 0.000).

---

No. 3
VASP calculation (PBE) on a geometry-optimized CsBi2C structure.

The raw total energy comes out at -3.64 eV/atom. Its total moment is 0.000 μB/atom.

The space group is I-42d (No. 122) and the conventional cell measures 7.965, 7.965 and 8.608 Å, with angles of 90.00, 90.00 and 90.00 degrees. The distinct sites, in fractional coordinates, are Cs at (0.000, 0.000, 0.000), Bi at (0.108, 0.250, 0.625) and C at (0.000, 0.000, 0.500).

---

No. 4
VASP calculation (PBE) on a geometry-optimized CsBiC3 structure.

The raw total energy comes out at -2.65 eV/atom. Its total moment is 0.383 μB/atom.

The space group is Pm-3m (No. 221) and the conventional cell measures 4.634, 4.634 and 4.634 Å, with angles of 90.00, 90.00 and 90.00 degrees. The distinct sites, in fractional coordinates, are Cs at (0.000, 0.000, 0.000), Bi at (0.500, 0.500, 0.500) and C at (0.000, 0.000, 0.500).

---

No. 5
VASP calculation (PBE) on a geometry-optimized CsBi3C structure.

The raw total energy comes out at -1.63 eV/atom. For the polymorph energy (0 for the lowest one), the calculation gives 1.856 eV/atom. Its total moment is 0.105 μB/atom.

The space group is Pm-3m (No. 221) and the conventional cell measures 6.502, 6.502 and 6.502 Å, with angles of 90.00, 90.00 and 90.00 degrees. The distinct sites, in fractional coordinates, are Cs at (0.000, 0.000, 0.000), Bi at (0.000, 0.000, 0.500) and C at (0.500, 0.500, 0.500).

---

No. 6
VASP calculation (PBE) on a geometry-optimized Cs2Bi2C structure.

The raw total energy comes out at -2.63 eV/atom. For the polymorph energy (0 for the lowest one), the calculation gives 0.297 eV/atom. Its total moment is 0.494 μB/atom.

The space group is P4/mbm (No. 127) and the conventional cell measures 11.440, 11.440 and 3.655 Å, with angles of 90.00, 90.00 and 90.00 degrees. The distinct sites, in fractional coordinates, are Cs at (0.204, 0.296, 0.000), Bi at (0.090, 0.590, 0.500) and C at (0.000, 0.000, 0.000).

---

No. 7
VASP calculation (PBE) on a geometry-optimized Cs2LiBiC structure.

The raw total energy comes out at -2.60 eV/atom. Its total moment is 0.000 μB/atom.

The space group is P4/mmm (No. 123) and the conventional cell measures 6.939, 6.939 and 4.602 Å, with angles of 90.00, 90.00 and 90.00 degrees. The distinct sites, in fractional coordinates, are Cs at (0.000, 0.500, 0.000), Li at (0.000, 0.000, 0.500), Bi at (0.500, 0.500, 0.500) and C at (0.500, 0.500, 0.000).

---

No. 8
VASP calculation (PBE) on a geometry-optimized CsBi2RhC structure.

The raw total energy comes out at -3.68 eV/atom. Its total moment is 0.000 μB/atom.

The space group is P4/mmm (No. 123) and the conventional cell measures 4.971, 4.971 and 5.331 Å, with angles of 90.00, 90.00 and 90.00 degrees. The distinct sites, in fractional coordinates, are Cs at (0.000, 0.000, 0.000), Bi at (0.000, 0.500, 0.500), Rh at (0.500, 0.500, 0.000) and C at (0.000, 0.000, 0.500).

---

No. 9
VASP calculation (PBE) on a geometry-optimized CsSc2BiC structure.

The raw total energy comes out at -3.62 eV/atom. Its total moment is 0.000 μB/atom.

The space group is P4/mmm (No. 123) and the conventional cell measures 5.510, 5.510 and 7.115 Å, with angles of 90.00, 90.00 and 90.00 degrees. The distinct sites, in fractional coordinates, are Cs at (0.000, 0.000, 0.000), Sc at (0.000, 0.500, 0.500), Bi at (0.000, 0.000, 0.500) and C at (0.500, 0.500, 0.000).

---

No. 10
VASP calculation (PBE) on a geometry-optimized CuBiC3 structure.

The raw total energy comes out at -3.57 eV/atom. For the polymorph energy (0 for the lowest one), the calculation gives 1.006 eV/atom. Its total moment is 0.000 μB/atom.

The space group is Pm-3m (No. 221) and the conventional cell measures 4.469, 4.469 and 4.469 Å, with angles of 90.00, 90.00 and 90.00 degrees. The distinct sites, in fractional coordinates, are Cu at (0.000, 0.000, 0.000), Bi at (0.500, 0.500, 0.500) and C at (0.000, 0.500, 0.500).

---

No. 11
VASP calculation (PBE) on a geometry-optimized CuBi3C structure.

The raw total energy comes out at -3.33 eV/atom. For the polymorph energy (0 for the lowest one), the calculation gives 0.539 eV/atom. Its total moment is 0.137 μB/atom.

The space group is Pm-3m (No. 221) and the conventional cell measures 5.192, 5.192 and 5.192 Å, with angles of 90.00, 90.00 and 90.00 degrees. The distinct sites, in fractional coordinates, are Cu at (0.000, 0.000, 0.000), Bi at (0.000, 0.000, 0.500) and C at (0.500, 0.500, 0.500).

---

No. 12
VASP calculation (PBE) on a geometry-optimized CuBi3C structure.

The raw total energy comes out at -3.87 eV/atom. For the polymorph energy (0 for the lowest one), the calculation gives 0.000 eV/atom. Its total moment is 0.000 μB/atom.

The space group is Pm-3m (No. 221) and the conventional cell measures 4.947, 4.947 and 4.947 Å, with angles of 90.00, 90.00 and 90.00 degrees. The distinct sites, in fractional coordinates, are Cu at (0.000, 0.000, 0.000), Bi at (0.000, 0.500, 0.500) and C at (0.500, 0.500, 0.500).

---

No. 13
VASP calculation (PBE) on a geometry-optimized CuBiC3 structure.

The raw total energy comes out at -4.58 eV/atom. For the polymorph energy (0 for the lowest one), the calculation gives 0.000 eV/atom. Its total moment is 0.000 μB/atom.

The space group is Pm-3m (No. 221) and the conventional cell measures 4.003, 4.003 and 4.003 Å, with angles of 90.00, 90.00 and 90.00 degrees. The distinct sites, in fractional coordinates, are Cu at (0.000, 0.000, 0.000), Bi at (0.500, 0.500, 0.500) and C at (0.000, 0.000, 0.500).

---

No. 14
VASP calculation (PBE) on a geometry-optimized Li2CuBiC structure.

The raw total energy comes out at -3.73 eV/atom. Its total moment is 0.000 μB/atom.

The space group is P4/mmm (No. 123) and the conventional cell measures 4.898, 4.898 and 3.608 Å, with angles of 90.00, 90.00 and 90.00 degrees. The distinct sites, in fractional coordinates, are Li at (0.000, 0.500, 0.000), Cu at (0.000, 0.000, 0.000), Bi at (0.500, 0.500, 0.500) and C at (0.000, 0.000, 0.500).

---

No. 15
VASP calculation (PBE) on a geometry-optimized NbCuBi2C structure.

The raw total energy comes out at -5.10 eV/atom. Its total moment is 0.000 μB/atom.

The space group is P4/mmm (No. 123) and the conventional cell measures 5.566, 5.566 and 4.077 Å, with angles of 90.00, 90.00 and 90.00 degrees. The distinct sites, in fractional coordinates, are Nb at (0.000, 0.000, 0.000), Cu at (0.500, 0.500, 0.500), Bi at (0.000, 0.500, 0.000) and C at (0.000, 0.000, 0.500).

---

No. 16
VASP calculation (PBE) on a geometry-optimized CuBiC2O6 structure.

As for the uncorrected formation energy: -1119 meV/atom. The raw total energy comes out at -6.74 eV/atom. Its total moment is 0.009 μB/atom.

The space group is R-3 (No. 148, hexagonal axes) and the conventional cell measures 5.0028, 5.0028 and 16.5979 Å, with angles of 90.00, 90.00 and 120.00 degrees. The distinct sites, in fractional coordinates, are Cu at (0.0000, 0.0000, 0.0000), Bi at (0.0000, 0.0000, 0.5000), C at (0.0000, 0.0000, 0.2510) and O at (0.0258, 0.2724, 0.7492).

---

No. 17
VASP calculation (PBE) on a geometry-optimized CuBiP2C structure.

The raw total energy comes out at -4.45 eV/atom. Its total moment is 0.000 μB/atom.

The space group is P4/mmm (No. 123) and the conventional cell measures 4.044, 4.044 and 5.054 Å, with angles of 90.00, 90.00 and 90.00 degrees. The distinct sites, in fractional coordinates, are Cu at (0.000, 0.000, 0.000), Bi at (0.500, 0.500, 0.000), P at (0.000, 0.500, 0.500) and C at (0.500, 0.500, 0.500).

---

No. 18
VASP calculation (PBE) on a geometry-optimized CuBiPbC2 structure.

The raw total energy comes out at -3.48 eV/atom. Its total moment is 0.312 μB/atom.

The space group is P4/mmm (No. 123) and the conventional cell measures 4.461, 4.461 and 6.536 Å, with angles of 90.00, 90.00 and 90.00 degrees. The distinct sites, in fractional coordinates, are Cu at (0.000, 0.000, 0.000), Bi at (0.500, 0.500, 0.500), Pb at (0.500, 0.500, 0.000) and C at (0.000, 0.500, 0.500).

---

No. 19
VASP calculation (PBE) on a geometry-optimized CuBi2PdC structure.

The raw total energy comes out at -3.60 eV/atom. Its total moment is 0.216 μB/atom.

The space group is P4/mmm (No. 123) and the conventional cell measures 5.066, 5.066 and 4.694 Å, with angles of 90.00, 90.00 and 90.00 degrees. The distinct sites, in fractional coordinates, are Cu at (0.000, 0.000, 0.000), Bi at (0.000, 0.500, 0.000), Pd at (0.000, 0.000, 0.500) and C at (0.500, 0.500, 0.500).

---

No. 20
VASP calculation (PBE) on a geometry-optimized RbCuBiC2 structure.

The raw total energy comes out at -3.39 eV/atom. Its total moment is 0.591 μB/atom.

The space group is P4/mmm (No. 123) and the conventional cell measures 4.861, 4.861 and 5.166 Å, with angles of 90.00, 90.00 and 90.00 degrees. The distinct sites, in fractional coordinates, are Rb at (0.000, 0.000, 0.000), Cu at (0.500, 0.500, 0.000), Bi at (0.500, 0.500, 0.500) and C at (0.000, 0.500, 0.500).

---

No. 21
VASP calculation (PBE) on a geometry-optimized Cu2BiCS structure.

As for the uncorrected formation energy: 1163 meV/atom. The raw total energy comes out at -3.92 eV/atom. Its total moment is 0.000 μB/atom.

The space group is P4/mmm (No. 123) and the conventional cell measures 4.252, 4.252 and 4.731 Å, with angles of 90.00, 90.00 and 90.00 degrees. The distinct sites, in fractional coordinates, are Cu at (0.000, 0.500, 0.000), Bi at (0.000, 0.000, 0.500), C at (0.500, 0.500, 0.500) and S at (0.500, 0.500, 0.000).

---

No. 22
VASP calculation (PBE) on a geometry-optimized TaCuBiC2 structure.

The raw total energy comes out at -4.42 eV/atom. Its total moment is 0.000 μB/atom.

The space group is P4/mmm (No. 123) and the conventional cell measures 4.364, 4.364 and 5.572 Å, with angles of 90.00, 90.00 and 90.00 degrees. The distinct sites, in fractional coordinates, are Ta at (0.000, 0.000, 0.000), Cu at (0.500, 0.500, 0.000), Bi at (0.000, 0.000, 0.500) and C at (0.000, 0.500, 0.500).

---

No. 23
VASP calculation (PBE) on a geometry-optimized CuBi2TeC structure.

As for the uncorrected formation energy: 773 meV/atom. The raw total energy comes out at -4.07 eV/atom. Its total moment is 0.000 μB/atom.

The space group is P4/mmm (No. 123) and the conventional cell measures 5.625, 5.625 and 3.652 Å, with angles of 90.00, 90.00 and 90.00 degrees. The distinct sites, in fractional coordinates, are Cu at (0.000, 0.000, 0.000), Bi at (0.000, 0.500, 0.000), Te at (0.500, 0.500, 0.500) and C at (0.000, 0.000, 0.500).

---

No. 24
VASP calculation (PBE) on a geometry-optimized Y2CuBiC structure.

The raw total energy comes out at -6.43 eV/atom. Its total moment is 0.000 μB/atom.

The space group is P4/mmm (No. 123) and the conventional cell measures 5.051, 5.051 and 4.031 Å, with angles of 90.00, 90.00 and 90.00 degrees. The distinct sites, in fractional coordinates, are Y at (0.000, 0.500, 0.000), Cu at (0.000, 0.000, 0.500), Bi at (0.500, 0.500, 0.500) and C at (0.000, 0.000, 0.000).

---

No. 25
VASP calculation (PBE) on a geometry-optimized ZnCuBiC2 structure.

The raw total energy comes out at -3.69 eV/atom. Its total moment is 0.124 μB/atom.

The space group is P4/mmm (No. 123) and the conventional cell measures 3.940, 3.940 and 5.002 Å, with angles of 90.00, 90.00 and 90.00 degrees. The distinct sites, in fractional coordinates, are Zn at (0.000, 0.000, 0.000), Cu at (0.000, 0.000, 0.500), Bi at (0.500, 0.500, 0.000) and C at (0.000, 0.500, 0.500).

---

No. 26
VASP calculation (PBE) on a geometry-optimized ZrCuBiC2 structure.

The raw total energy comes out at -5.18 eV/atom. Its total moment is 0.000 μB/atom.

The space group is P4/mmm (No. 123) and the conventional cell measures 4.052, 4.052 and 5.159 Å, with angles of 90.00, 90.00 and 90.00 degrees. The distinct sites, in fractional coordinates, are Zr at (0.000, 0.000, 0.000), Cu at (0.500, 0.500, 0.500), Bi at (0.500, 0.500, 0.000) and C at (0.000, 0.500, 0.500).

---

No. 27
VASP calculation (PBE) on a geometry-optimized Dy12Bi5C2 structure.

The raw total energy comes out at -5.31 eV/atom. Its total moment is 0.126 μB/atom.

The space group is C2/m (No. 12) and the conventional cell measures 17.082, 7.666 and 9.318 Å, with angles of 90.00, 107.47 and 90.00 degrees. The distinct sites, in fractional coordinates, are Dy at (0.001, 0.000, 0.167), Dy at (0.005, 0.500, 0.186), Dy at (0.138, 0.266, 0.556), Dy at (0.147, 0.240, 0.078), Bi at (0.000, 0.000, 0.500), Bi at (0.188, 0.500, 0.845), Bi at (0.210, 0.500, 0.351) and C at (0.000, 0.261, 0.000).